Here is crystalline AcPr4Nd at its relaxed geometry from Alexandria. Energies are from GGA-PBE.

Properties
Calculated total energy ... -26.732 eV/cell
D(E_F) ... 10.32 states/eV per cell
Distance to the lowest polymorph of the same formula ... 0.69 eV per formula unit
DFT formation energy ... 210 meV/atom
Size of the total moment ... 0.00 μB/cell

```
data_AcPr4Nd
_cell_length_a 6.843
_cell_length_b 6.843
_cell_length_c 6.843
_cell_angle_alpha 60.00
_cell_angle_beta 60.00
_cell_angle_gamma 60.00
_space_group_name_H-M_alt 'P 1'
_space_group_IT_number 1
loop_
_space_group_symop_operation_xyz
'x,y,z'
loop_
_atom_site_label
_atom_site_type_symbol
_atom_site_fract_x
_atom_site_fract_y
_atom_site_fract_z
Ac1 Ac 0.000 0.000 0.000
Pr1 Pr 0.376 0.376 0.376
Pr2 Pr 0.376 0.376 0.872
Pr3 Pr 0.376 0.872 0.376
Pr4 Pr 0.872 0.376 0.376
Nd1 Nd 0.750 0.750 0.750
```